Record 1
Here is crystalline LaAs2RhBr at its relaxed geometry from Alexandria via LeMat-Bulk. Energies are from PBE-GGA.

For the distance to the lowest polymorph of the same formula, the calculation gives 1.223 eV per atom. As for the crystal system: tetragonal. For the density of states at the Fermi level, the calculation gives 1.8953 states/eV per atom. The value obtained for the formation energy from raw total energies is 0.747 eV per atom. The magnetization comes out at 2.636 μB per formula unit. The calculation puts the total energy at -3.903 eV/atom.

The structure belongs to space group P4/mmm (No. 123); the cell edges are 5.721, 5.721 and 5.676 Å and the angles 90.00°, 90.00° and 90.00°. Symmetry generates all atoms from La at (0.000, 0.000, 0.000), As at (0.000, 0.500, 0.000), Rh at (0.500, 0.500, 0.500) and Br at (0.000, 0.000, 0.500).



Record 2
Here is crystalline DyHo2NpS4 at its relaxed geometry from Alexandria via LeMat-Bulk. Energies are from PBE-GGA.

As for the crystal system: monoclinic. For the density of states at the Fermi level, the calculation gives 1.3572 states/eV per atom. The value obtained for the formation energy from raw total energies is -1.836 eV per atom. The magnetization comes out at 4.537 μB per formula unit. The calculation puts the total energy at -7.237 eV/atom.

The structure belongs to space group P2/m (No. 10); the cell edges are 6.750, 3.891 and 6.751 Å and the angles 90.00°, 109.34° and 90.00°. Symmetry generates all atoms from Dy at (0.000, 0.000, 0.000), Ho at (0.000, 0.500, 0.500), Ho at (0.500, 0.000, 0.500), Np at (0.500, 0.500, 0.000), S at (0.249, 0.000, 0.747) and S at (0.250, 0.500, 0.253).



Record 3
Here is crystalline ZrCo2Au at its relaxed geometry from Alexandria via LeMat-Bulk. Energies are from PBE-GGA.

For the distance to the lowest polymorph of the same formula, the calculation gives 0.456 eV per atom. As for the crystal system: trigonal. For the density of states at the Fermi level, the calculation gives 1.1885 states/eV per atom. The magnetization comes out at 3.547 μB per formula unit. As for the formation energy: 224 meV per atom. The calculation puts the total energy at -6.285 eV/atom.

The structure belongs to space group R3m (No. 160, hexagonal axes); the cell edges are 2.8968, 2.8968 and 26.2741 Å and the angles 90.00°, 90.00° and 120.00°. Symmetry generates all atoms from Zr at (0.0000, 0.0000, 0.0000), Co at (0.0000, 0.0000, 0.2443), Co at (0.0000, 0.0000, 0.5137) and Au at (0.0000, 0.0000, 0.7630).



Which of these has the highest magnetization?
DyHo2NpS4